# Mn5Fe3O16 (PBE+U, relaxed)
data_Mn5Fe3O16
_chemical_formula_sum 'Mn10 Fe6 O32'
_space_group_name_H-M_alt 'C 1 m 1'
_space_group_IT_number 8
_space_group_name_Hall 'C -2y'
_cell_length_a 9.9626
_cell_length_b 5.7697
_cell_length_c 8.8580
_cell_angle_alpha 90.00
_cell_angle_beta 90.21
_cell_angle_gamma 90.00
loop_
_atom_site_label
_atom_site_type_symbol
_atom_site_fract_x
_atom_site_fract_y
_atom_site_fract_z
Mn1 Mn 0.0000 0.0000 0.0000
Mn2 Mn 0.0009 0.5000 0.7780
Mn3 Mn 0.0838 0.2514 0.5004
Mn4 Mn 0.3338 0.5000 0.2772
Fe1 Fe 0.2515 0.2510 0.9993
Fe2 Fe 0.3347 0.0000 0.4992
O1 O 0.0018 0.0000 0.3882
O2 O 0.0015 0.5000 0.3907
O3 O 0.0856 0.2471 0.8878
O4 O 0.1475 0.5000 0.6301
O5 O 0.1674 0.0000 0.6060
O6 O 0.1679 0.0000 0.1049
O7 O 0.1883 0.5000 0.1289
O8 O 0.2499 0.2470 0.3880
O9 O 0.3324 0.0000 0.8890
O10 O 0.3342 0.5000 0.8911
O11 O 0.4063 0.2804 0.1295
O12 O 0.4270 0.2180 0.6297
# - DFT total energy: -6.6683 eV per atom
# - Volume: 10.61 Å³/atom